1.
Tc2Pt4Rh: relaxed, PBE.

Structure (CIF):
```
data_Tc2Pt4Rh
_chemical_formula_sum 'Tc4 Pt8 Rh2'
_cell_length_a 6.682
_cell_length_b 6.682
_cell_length_c 6.682
_cell_angle_alpha 110.26
_cell_angle_beta 110.26
_cell_angle_gamma 107.90
_space_group_name_H-M_alt 'P 1'
_space_group_IT_number 1
_space_group_name_Hall 'P 1'
loop_
_atom_site_label
_atom_site_type_symbol
_atom_site_fract_x
_atom_site_fract_y
_atom_site_fract_z
_atom_site_occupancy
Tc1 Tc 0.020 0.125 0.395 1
Tc2 Tc 0.375 0.980 0.105 1
Tc3 Tc 0.730 0.625 0.605 1
Tc4 Tc 0.875 0.270 0.895 1
Pt1 Pt 0.100 0.530 0.740 1
Pt2 Pt 0.110 0.039 0.760 1
Pt3 Pt 0.280 0.350 0.240 1
Pt4 Pt 0.470 0.211 0.570 1
Pt5 Pt 0.640 0.900 0.430 1
Pt6 Pt 0.650 0.890 0.930 1
Pt7 Pt 0.789 0.360 0.260 1
Pt8 Pt 0.961 0.720 0.070 1
Rh1 Rh 0.250 0.750 0.500 1
Rh2 Rh 0.500 0.500 0.000 1
```

crystal system = tetragonal
E_form = 0.334 eV per atom
ρ = 15619 kg/m³

=====

2.
K2RbMnH: relaxed, PBE.

Structure (CIF):
```
data_K2RbMnH
_chemical_formula_sum 'K2 Rb1 Mn1 H1'
_cell_length_a 5.635
_cell_length_b 5.635
_cell_length_c 5.933
_cell_angle_alpha 90.00
_cell_angle_beta 90.00
_cell_angle_gamma 90.00
_space_group_name_H-M_alt 'P 1'
_space_group_IT_number 1
_space_group_name_Hall 'P 1'
loop_
_atom_site_label
_atom_site_type_symbol
_atom_site_fract_x
_atom_site_fract_y
_atom_site_fract_z
_atom_site_occupancy
K1 K 0.000 0.500 0.000 1
K2 K 0.500 0.000 0.000 1
Rb1 Rb 0.000 0.000 0.500 1
Mn1 Mn 0.500 0.500 0.500 1
H1 H 0.000 0.000 0.000 1
```

relative energy among the computed polymorphs = 0 meV per atom
crystal system = tetragonal
ρ = 1935 kg/m³

=====

3.
GaAgAsAuCl: relaxed, PBE.

Structure (CIF):
```
data_GaAgAsAuCl
_chemical_formula_sum 'Ga1 Ag1 As1 Au1 Cl1'
_cell_length_a 4.699
_cell_length_b 4.699
_cell_length_c 7.239
_cell_angle_alpha 97.90
_cell_angle_beta 97.90
_cell_angle_gamma 60.93
_space_group_name_H-M_alt 'P 1'
_space_group_IT_number 1
_space_group_name_Hall 'P 1'
loop_
_atom_site_label
_atom_site_type_symbol
_atom_site_fract_x
_atom_site_fract_y
_atom_site_fract_z
_atom_site_occupancy
Ga1 Ga 0.000 0.000 0.000 1
Ag1 Ag 0.643 0.643 0.854 1
As1 As 0.322 0.322 0.944 1
Au1 Au 0.179 0.179 0.621 1
Cl1 Cl 0.982 0.982 0.335 1
```

relative energy among the computed polymorphs = 57 meV per atom
crystal system = monoclinic
formation energy (no corrections) = -123 meV per atom
ρ = 5838 kg/m³

=====

- ρ of number 2 (K2RbMnH)?
  1935 kg/m³

=====

- Among the records above, which one has the lowest ρ?
  K2RbMnH